(one)
Compound: CaLaTe
Source: Alexandria
Functional: PBE-GGA
Structure: relaxed

Cell: 4.2275 4.2275 7.3769 Å, 90.00 90.00 120.00°
Space group P3m1 (No. 156)
Asymmetric unit:
Ca 0.0000 0.0000 0.0000
La 0.6667 0.3333 0.4450
Te 0.3333 0.6667 0.7276



(two)
Compound: CaLaTe
Source: Alexandria
Functional: PBE-GGA
Structure: relaxed

Cell: 3.927 3.927 13.612 Å, 90.00 90.00 90.00°
Space group I4mm (No. 107)
Asymmetric unit:
Ca 0.000 0.000 0.000
La 0.000 0.000 0.277
Te 0.000 0.000 0.642



(one) is preferred energetically. Next in line: 0.013 eV/atom higher.